Below is a geometry-optimized CsInFeF6 structure, with properties calculated at the GGA+U level.

Cell lengths 5.7576, 5.7241, 6.4236 Å; angles 90.07, 89.87, 59.87 degrees
Last column: magnetic moment on the atom in μB.
Fractional positions:
Cs: 0.0020 0.0001 0.9998  0.00
In: 0.3358 0.3335 0.5001  0.00
Fe: 0.6685 0.6645 0.4999  3.80
F: 0.9984 0.3904 0.3235  0.02
F: 0.3881 0.9948 0.6747  0.02
F: 0.6090 0.3883 0.6834  0.02
F: 0.0016 0.6096 0.6805  0.02
F: 0.3868 0.6155 0.3216  0.02
F: 0.6097 0.0034 0.3165  0.02

Values from the calculation:
The value obtained for the total DFT energy (no corrections) is -4.884 eV/atom. The value obtained for the calculated density is 3.8 g/cm3. As for the crystal system: triclinic.